# Rb4BaAc3O8, optimized geometry, DFT PBE
# **Mass density**: 6.060 g/cm3
# **Final energy**: -94.57 eV per formula unit
data_Rb4BaAc3O8
_chemical_formula_sum 'Rb12 Ba3 Ac9 O24'
_cell_length_a 7.8246
_cell_length_b 7.8246
_cell_length_c 19.9720
_cell_angle_alpha 90.00
_cell_angle_beta 90.00
_cell_angle_gamma 120.00
_space_group_name_H-M_alt 'R -3 m'
_space_group_IT_number 166
_space_group_name_Hall '-R 3 2"'
loop_
_atom_site_label
_atom_site_fract_x
_atom_site_fract_y
_atom_site_fract_z
Rb1 0.0000 0.0000 0.0000
Rb2 0.0000 0.5000 0.0000
Ba1 0.0000 0.0000 0.5000
Ac1 0.0000 0.5000 0.5000
O1 0.0000 0.0000 0.2302
O2 0.0200 0.5100 0.7702

***

# LiHgPb2, optimized geometry, DFT PBE
# **Mass density**: 9.639 g/cm3
# **ΔE_f**: -0.096 eV per atom
data_LiHgPb2
_chemical_formula_sum 'Li2 Hg2 Pb4'
_cell_length_a 8.4473
_cell_length_b 4.9003
_cell_length_c 5.8684
_cell_angle_alpha 90.00
_cell_angle_beta 118.10
_cell_angle_gamma 90.00
_space_group_name_H-M_alt 'C 1 m 1'
_space_group_IT_number 8
loop_
_space_group_symop_operation_xyz
'x,y,z'
'x,-y,z'
'x+1/2,y+1/2,z'
'x+1/2,-y+1/2,z'
loop_
_atom_site_label
_atom_site_fract_x
_atom_site_fract_y
_atom_site_fract_z
Li1 0.0000 0.0000 0.0000
Hg1 0.3356 0.0000 0.0043
Pb1 0.0585 0.5000 0.6759
Pb2 0.2864 0.5000 0.3537

***

# NdTh2UC4, optimized geometry, DFT PBE
# **Mass density**: 10.363 g/cm3
# **ΔE_f**: -0.143 eV per atom
data_NdTh2UC4
_chemical_formula_sum 'Nd1 Th2 U1 C4'
_cell_length_a 6.3876
_cell_length_b 3.7167
_cell_length_c 6.3935
_cell_angle_alpha 90.00
_cell_angle_beta 109.23
_cell_angle_gamma 90.00
_space_group_name_H-M_alt 'P 1 2/m 1'
_space_group_IT_number 10
loop_
_space_group_symop_operation_xyz
'x,y,z'
'-x,-y,-z'
'-x,y,-z'
'x,-y,z'
loop_
_atom_site_label
_atom_site_fract_x
_atom_site_fract_y
_atom_site_fract_z
Nd1 0.0000 0.0000 0.0000
Th1 0.0000 0.5000 0.5000
Th2 0.5000 0.0000 0.5000
U1 0.5000 0.5000 0.0000
C1 0.2754 0.0000 0.7691
C2 0.2821 0.5000 0.2318

***

# Pr4SnPbN, optimized geometry, DFT PBE
# **Mass density**: 7.243 g/cm3
# **Final energy**: -40.76 eV per formula unit
data_Pr4SnPbN
_chemical_formula_sum 'Pr16 Sn4 Pb4 N4'
_cell_length_a 7.0301
_cell_length_b 16.7733
_cell_length_c 7.0265
_cell_angle_alpha 90.00
_cell_angle_beta 90.00
_cell_angle_gamma 90.00
_space_group_name_H-M_alt 'C m c m'
_space_group_IT_number 63
_space_group_name_Hall '-C 2c 2'
loop_
_atom_site_label
_atom_site_fract_x
_atom_site_fract_y
_atom_site_fract_z
Pr1 0.0000 0.0878 0.2500
Pr2 0.0000 0.4097 0.2500
Pr3 0.2500 0.2500 0.0000
Sn1 0.0000 0.1093 0.7500
Pb1 0.0000 0.3930 0.7500
N1 0.0000 0.2522 0.2500